VASP calculation (GGA-PBE) on an optimized crystal structure of CsNaMg2Hg.

ρ ... 3.67 g cm⁻³
DFT total energy ... -1.11 eV per atom

Cell lengths 5.4652, 5.4652, 6.1393 Å; angles 90.00, 90.00, 90.00 degrees
Space group P4/mmm (No. 123)
Inequivalent atoms, fractional coordinates:
Cs1 0.0000 0.0000 0.0000 [1 per cell]
Na1 0.5000 0.5000 0.0000 [1 per cell]
Mg1 0.0000 0.5000 0.5000 [2 per cell]
Hg1 0.5000 0.5000 0.5000 [1 per cell]